Record 1
This record from Alexandria describes a geometry-optimized Si2TcNi structure. The functional is PBE.

Cell lengths 3.003, 3.003, 5.478 Å; angles 90.00, 90.00, 90.00 degrees
Fractional positions:
Si: 0.000 0.000 0.247
Si: 0.000 0.000 0.753
Tc: 0.500 0.500 0.500
Ni: 0.500 0.500 0.000

Properties
ΔE_f (raw)	-0.409	eV per atom
calculated density	7.16	g cm⁻³

Record 2
This record from Alexandria describes a geometry-optimized BeNiOs2 structure. The functional is PBE.

Cell lengths 4.963, 4.963, 4.963 Å; angles 147.73, 129.98, 60.79 degrees
Fractional positions:
Be: 0.000 0.000 0.000
Ni: 0.500 0.500 0.000
Os: 0.210 0.710 0.500
Os: 0.790 0.290 0.500

Properties
calculated density	15.02	g cm⁻³
formation energy	0.13	eV per atom

Record 3
This record from Alexandria describes a geometry-optimized LiZr2Cl structure. The functional is PBE.

Cell lengths 10.028, 10.028, 10.028 Å; angles 17.89, 17.89, 17.89 degrees
Fractional positions:
Li: 0.000 0.000 0.000
Zr: 0.242 0.242 0.242
Zr: 0.758 0.758 0.758
Cl: 0.500 0.500 0.500

Properties
ΔE_f (raw)	-0.177	eV per atom
excess energy over the best structure of this formula in the dataset	8.65	kcal/mol of atoms
calculated density	4.49	g cm⁻³